(1)
{"formula": "Hf2Be9Mo", "functional": "PBE", "state": "optimized geometry", "space_group": "No. 166", "final_energy_ev_per_atom": -5.518, "n_ef_per_ev_atom": 0.276, "formation_enthalpy_0k_ev_per_atom": -0.162, "m_tot_mub_per_cell": 0.0, "crystal_system": "trigonal", "cell": [[-0.691, 2.080, 4.013], [1.792, -1.754, 3.823], [6.311, 4.009, 1.614]], "species": ["Be", "Be", "Be", "Be", "Be", "Be", "Be", "Be", "Be", "Mo", "Hf", "Hf"], "frac_coords": [[0.074, 0.578, 0.770], [0.334, 0.334, 0.999], [0.578, 0.578, 0.770], [0.422, 0.422, 0.230], [0.926, 0.422, 0.230], [0.500, 0.500, 0.500], [0.578, 0.074, 0.770], [0.666, 0.666, 0.001], [0.422, 0.926, 0.230], [0.000, 0.000, 0.000], [0.863, 0.863, 0.412], [0.137, 0.137, 0.588]]}

(2)
{"formula": "Tl2InTe2", "functional": "PBE", "state": "optimized geometry", "space_group": "No. 14", "final_energy_ev_per_atom": -2.986, "n_ef_per_ev_atom": 0.252, "m_tot_mub_per_cell": 0.0, "crystal_system": "monoclinic", "relative_energy_ev_per_atom": 0.029, "cell": [[7.598, 0.000, -2.324], [0.000, 8.304, 0.000], [-0.239, 0.000, 10.791]], "species": ["In", "In", "In", "In", "Tl", "Tl", "Tl", "Tl", "Tl", "Tl", "Tl", "Tl", "Te", "Te", "Te", "Te", "Te", "Te", "Te", "Te"], "frac_coords": [[0.539, 0.744, 0.590], [0.961, 0.244, 0.410], [0.461, 0.256, 0.410], [0.039, 0.756, 0.590], [0.445, 0.718, 0.865], [0.985, 0.638, 0.227], [0.485, 0.862, 0.227], [0.015, 0.362, 0.773], [0.945, 0.782, 0.865], [0.055, 0.218, 0.135], [0.515, 0.138, 0.773], [0.555, 0.282, 0.135], [0.275, 0.439, 0.572], [0.238, 0.070, 0.942], [0.738, 0.430, 0.942], [0.262, 0.570, 0.058], [0.225, 0.939, 0.428], [0.775, 0.061, 0.572], [0.725, 0.561, 0.428], [0.762, 0.930, 0.058]]}

(3)
{"formula": "LuGe2Os", "functional": "PBE", "state": "optimized geometry", "space_group": "No. 166", "final_energy_ev_per_atom": -6.632, "n_ef_per_ev_atom": 0.520, "formation_enthalpy_0k_ev_per_atom": -0.386, "m_tot_mub_per_cell": 0.0, "crystal_system": "trigonal", "cell": [[4.200, 0.000, 0.000], [2.100, 3.638, 0.000], [2.100, 1.213, 4.714]], "species": ["Lu", "Ge", "Ge", "Os"], "frac_coords": [[0.000, 0.000, 0.000], [0.775, 0.775, 0.674], [0.225, 0.225, 0.326], [0.500, 0.500, 0.500]]}